No. 1
Computed, not measured: a relaxed structure of La4B4Br5 at the PBE-GGA level of DFT.

abc: 9.527 9.527 20.069
angles: 105.96 105.96 26.15
Positions (direct):
La (0.000, 0.000, 0.123)
La (0.000, 0.000, 0.877)
La (0.009, 0.009, 0.379)
La (0.356, 0.356, 0.713)
La (0.365, 0.365, 0.216)
La (0.635, 0.635, 0.784)
La (0.644, 0.644, 0.287)
La (0.991, 0.991, 0.621)
B (0.181, 0.811, 0.749)
B (0.189, 0.819, 0.251)
B (0.495, 0.495, 0.700)
B (0.496, 0.496, 0.798)
B (0.504, 0.504, 0.202)
B (0.505, 0.505, 0.300)
B (0.811, 0.181, 0.749)
B (0.819, 0.189, 0.251)
Br (0.169, 0.169, 0.682)
Br (0.172, 0.172, 0.900)
Br (0.177, 0.177, 0.184)
Br (0.181, 0.181, 0.403)
Br (0.500, 0.500, 0.000)
Br (0.500, 0.500, 0.500)
Br (0.819, 0.819, 0.597)
Br (0.823, 0.823, 0.816)
Br (0.828, 0.828, 0.100)
Br (0.831, 0.831, 0.318)

Computed properties:
- raw total energy (eV/cell) = -145.1
- energy relative to the elements, uncorrected (eV/atom) = -1.365
- crystal system = monoclinic
- total magnetic moment (μB per cell) = 0.00



No. 2
Computed, not measured: a relaxed structure of Mn2NiAu at the PBE-GGA level of DFT.

abc: 2.966 3.621 5.483
angles: 90.00 90.00 90.00
Positions (direct):
Mn (0.000, 0.000, 0.000)
Mn (0.500, 0.500, 0.279)
Ni (0.000, 0.000, 0.462)
Au (0.500, 0.500, 0.758)

Computed properties:
- raw total energy (eV/cell) = -26.9
- crystal system = orthorhombic
- total magnetic moment (μB per cell) = 8.18
- DFT formation energy (kJ/mol of formula units) = 52.6



No. 3
Computed, not measured: a relaxed structure of Tb2Pr2Sm5 at the PBE-GGA level of DFT.

abc: 11.191 11.191 8.353
angles: 99.72 99.72 18.16
Positions (direct):
Tb (0.048, 0.048, 0.358)
Tb (0.952, 0.952, 0.642)
Pr (0.320, 0.320, 0.852)
Pr (0.680, 0.680, 0.148)
Sm (0.190, 0.190, 0.533)
Sm (0.405, 0.405, 0.262)
Sm (0.500, 0.500, 0.000)
Sm (0.595, 0.595, 0.738)
Sm (0.810, 0.810, 0.467)

Computed properties:
- raw total energy (eV/cell) = -40.4
- crystal system = monoclinic
- total magnetic moment (μB per cell) = 0.00
- DFT formation energy (kJ/mol of formula units) = 192.5



No. 4
Computed, not measured: a relaxed structure of BaTaCu at the PBE-GGA level of DFT.

abc: 4.273 4.273 5.349
angles: 90.00 90.00 120.00
Positions (direct):
Ba (0.000, 0.000, 0.000)
Ta (0.667, 0.333, 0.500)
Cu (0.333, 0.667, 0.500)

Computed properties:
- raw total energy (eV/cell) = -15.4
- crystal system = hexagonal
- total magnetic moment (μB per cell) = 0.00
- DFT formation energy (kJ/mol of formula units) = 236.1



What is the total magnetic moment in the fourth record? 0.00 μB per cell



Which value of raw total energy does entry 3 give? -40.4 eV/cell